Entry 1:
Material: LaCd3
Method: DFT, SCAN
State: PBEsol geometry Values from VASP.

Geometry as Quantum ESPRESSO input:
```
&SYSTEM
  ibrav = 0, nat = 4, ntyp = 2
/
ATOMIC_SPECIES
La 138.91 La.upf
Cd 112.41 Cd.upf
ATOMIC_POSITIONS angstrom
La 0.000 0.000 0.000
Cd 1.308 2.468 4.624
Cd 1.473 0.000 3.109
Cd 1.639 2.468 1.593
CELL_PARAMETERS angstrom
3.241 0.000 0.000
0.000 4.937 0.000
-0.295 0.000 6.218
```



Entry 2:
Material: LaCd2
Method: DFT, SCAN
State: PBEsol geometry Values from VASP.

Geometry as Quantum ESPRESSO input:
```
&SYSTEM
  ibrav = 0, nat = 12, ntyp = 2
/
ATOMIC_SPECIES
La 138.91 La.upf
Cd 112.41 Cd.upf
ATOMIC_POSITIONS angstrom
La 1.223 1.262 0.725
La 2.064 3.787 5.424
La 4.509 1.262 3.974
La 5.351 3.787 8.673
Cd 0.191 1.262 6.802
Cd 1.125 1.262 3.828
Cd 2.162 3.787 8.527
Cd 3.096 3.787 2.103
Cd 3.478 1.262 7.295
Cd 4.412 1.262 0.871
Cd 5.449 3.787 5.570
Cd 6.382 3.787 2.596
CELL_PARAMETERS angstrom
6.574 0.000 0.000
0.000 5.049 0.000
0.000 0.000 9.398
```



Entry 3:
Material: La2Cd
Method: DFT, SCAN
State: PBEsol geometry Values from VASP.

Geometry as Quantum ESPRESSO input:
```
&SYSTEM
  ibrav = 0, nat = 6, ntyp = 2
/
ATOMIC_SPECIES
La 138.91 La.upf
Cd 112.41 Cd.upf
ATOMIC_POSITIONS angstrom
La 5.297 1.228 0.000
La 1.228 2.842 0.000
La 2.842 1.228 2.746
La -1.228 2.842 2.746
Cd 0.000 0.000 1.373
Cd 0.000 0.000 4.119
CELL_PARAMETERS angstrom
-4.069 4.069 2.746
4.069 -4.069 2.746
4.069 4.069 -2.746
```



Entry 4:
Material: LaCd
Method: DFT, SCAN
State: PBEsol geometry Values from VASP.

Geometry as Quantum ESPRESSO input:
```
&SYSTEM
  ibrav = 0, nat = 2, ntyp = 2
/
ATOMIC_SPECIES
La 138.91 La.upf
Cd 112.41 Cd.upf
ATOMIC_POSITIONS angstrom
La 0.000 0.000 0.000
Cd 0.000 0.000 7.815
CELL_PARAMETERS angstrom
1.803 1.041 5.210
-1.803 1.041 5.210
0.000 -2.082 5.210
```



Entry 5:
Material: LaCd13
Method: DFT, SCAN
State: PBEsol geometry Values from VASP.

Geometry as Quantum ESPRESSO input:
```
&SYSTEM
  ibrav = 0, nat = 28, ntyp = 2
/
ATOMIC_SPECIES
La 138.91 La.upf
Cd 112.41 Cd.upf
ATOMIC_POSITIONS angstrom
La 3.377 3.377 3.377
La 10.132 10.132 10.132
Cd 0.000 0.000 0.000
Cd 6.755 5.104 2.428
Cd 11.082 6.755 5.104
Cd 8.405 2.428 6.755
Cd 8.405 6.755 4.327
Cd 6.755 4.327 5.104
Cd 9.182 5.104 6.755
Cd 6.755 8.405 2.428
Cd 5.104 2.428 6.755
Cd 11.082 6.755 8.405
Cd 5.104 6.755 4.327
Cd 9.182 8.405 6.755
Cd 6.755 4.327 8.405
Cd 6.755 6.755 6.755
Cd 6.755 9.182 5.104
Cd 4.327 5.104 6.755
Cd 8.405 6.755 9.182
Cd 2.428 6.755 5.104
Cd 8.405 11.082 6.755
Cd 6.755 5.104 11.082
Cd 4.327 8.405 6.755
Cd 6.755 9.182 8.405
Cd 5.104 6.755 9.182
Cd 5.104 11.082 6.755
Cd 2.428 6.755 8.405
Cd 6.755 8.405 11.082
CELL_PARAMETERS angstrom
0.000 6.755 6.755
6.755 0.000 6.755
6.755 6.755 0.000
```



Entry 6:
Material: La3Cd
Method: DFT, SCAN
State: PBEsol geometry Values from VASP.

Geometry as Quantum ESPRESSO input:
```
&SYSTEM
  ibrav = 0, nat = 8, ntyp = 2
/
ATOMIC_SPECIES
La 138.91 La.upf
Cd 112.41 Cd.upf
ATOMIC_POSITIONS angstrom
La 3.799 4.788 4.185
La 1.977 1.597 4.185
La 1.977 -1.597 1.395
La 5.620 1.597 4.185
La 5.620 -1.597 1.395
La 3.799 -4.788 1.395
Cd 3.799 1.260 1.395
Cd 3.799 -1.260 4.185
CELL_PARAMETERS angstrom
3.799 -5.747 0.000
3.799 5.747 0.000
0.000 0.000 5.580
```



Entry 7:
Material: La4Cd5
Method: DFT, SCAN
State: PBEsol geometry Values from VASP.

Geometry as Quantum ESPRESSO input:
```
&SYSTEM
  ibrav = 0, nat = 18, ntyp = 2
/
ATOMIC_SPECIES
La 138.91 La.upf
Cd 112.41 Cd.upf
ATOMIC_POSITIONS angstrom
La 0.000 0.000 0.000
La 0.000 0.000 3.331
La -1.693 2.933 1.665
La -2.998 5.193 4.996
La 3.386 0.000 1.665
La 1.693 2.933 4.996
La 5.996 0.000 4.996
La 2.998 5.193 1.665
Cd -1.473 2.551 4.996
Cd -3.219 5.575 1.665
Cd 2.945 0.000 4.996
Cd 1.473 2.551 1.665
Cd 0.000 5.417 0.000
Cd 0.000 5.417 3.331
Cd 4.691 2.708 0.000
Cd 4.691 2.708 3.331
Cd 6.437 0.000 1.665
Cd 3.219 5.575 4.996
CELL_PARAMETERS angstrom
9.383 0.000 0.000
-4.691 8.125 0.000
0.000 0.000 6.661
```



Entry 8:
Material: La3Cd5
Method: DFT, SCAN
State: PBEsol geometry Values from VASP.

Geometry as Quantum ESPRESSO input:
```
&SYSTEM
  ibrav = 0, nat = 8, ntyp = 2
/
ATOMIC_SPECIES
La 138.91 La.upf
Cd 112.41 Cd.upf
ATOMIC_POSITIONS angstrom
La 0.000 0.000 0.000
La 3.760 2.382 2.650
La 3.760 -2.382 2.650
Cd 1.880 2.723 0.000
Cd 1.706 0.000 2.650
Cd 1.880 -2.723 0.000
Cd 3.760 0.000 0.000
Cd 5.813 0.000 2.650
CELL_PARAMETERS angstrom
3.760 -5.445 0.000
3.760 5.445 0.000
0.000 0.000 5.301
```



Entry 9:
Material: LaCd
Method: DFT, SCAN
State: PBEsol geometry Values from VASP.

Geometry as Quantum ESPRESSO input:
```
&SYSTEM
  ibrav = 0, nat = 4, ntyp = 2
/
ATOMIC_SPECIES
La 138.91 La.upf
Cd 112.41 Cd.upf
ATOMIC_POSITIONS angstrom
La 0.000 2.994 1.372
La 2.593 1.497 4.115
Cd 0.000 0.000 0.000
Cd 0.000 0.000 2.744
CELL_PARAMETERS angstrom
5.186 0.000 0.000
-2.593 4.491 0.000
0.000 0.000 5.487
```



Entry 10:
Material: LaCd3
Method: DFT, SCAN
State: PBEsol geometry Values from VASP.

Geometry as Quantum ESPRESSO input:
```
&SYSTEM
  ibrav = 0, nat = 8, ntyp = 2
/
ATOMIC_SPECIES
La 138.91 La.upf
Cd 112.41 Cd.upf
ATOMIC_POSITIONS angstrom
La 0.000 0.000 2.199
La 0.000 0.000 14.295
Cd 2.451 0.000 0.000
Cd 2.451 0.000 4.123
Cd 0.000 0.000 6.083
Cd 0.000 2.451 0.000
Cd 0.000 0.000 10.411
Cd 0.000 2.451 4.123
CELL_PARAMETERS angstrom
-2.451 2.451 8.247
2.451 -2.451 8.247
2.451 2.451 -8.247
```



Entry 11:
Material: La2Cd
Method: DFT, SCAN
State: PBEsol geometry Values from VASP.

Geometry as Quantum ESPRESSO input:
```
&SYSTEM
  ibrav = 0, nat = 3, ntyp = 2
/
ATOMIC_SPECIES
La 138.91 La.upf
Cd 112.41 Cd.upf
ATOMIC_POSITIONS angstrom
La 0.000 2.999 0.618
La 2.597 1.499 3.066
Cd 0.000 0.000 1.842
CELL_PARAMETERS angstrom
5.194 0.000 0.000
-2.597 4.498 0.000
0.000 0.000 3.684
```



Entry 12:
Material: LaCd
Method: DFT, SCAN
State: PBEsol geometry Values from VASP.

Geometry as Quantum ESPRESSO input:
```
&SYSTEM
  ibrav = 0, nat = 4, ntyp = 2
/
ATOMIC_SPECIES
La 138.91 La.upf
Cd 112.41 Cd.upf
ATOMIC_POSITIONS angstrom
La 0.935 0.935 0.935
La 6.544 6.544 6.544
Cd 2.804 2.804 2.804
Cd 4.674 4.674 4.674
CELL_PARAMETERS angstrom
0.000 3.739 3.739
3.739 0.000 3.739
3.739 3.739 0.000
```



What energy of formation from the pure elements values result from the calculations? In sequence: -0.2728, -0.3919, -0.2289, -0.1606, -0.1304, -0.1926, -0.3242, -0.3665, -0.1772, -0.3104, -0.2350, -0.1222 eV/atom.
What magnetic moment values result from the calculations? In sequence: 0.0, 0.0, 0.0, 0.0, 0.0, 0.0, 0.0, 0.0, 0.0, 0.0, 0.0, 1.0 μB/f.u..